Record 1
The following is a DFT calculation (PBE-GGA) of a relaxed Ba2LiAlAg2 crystal.

Values from the calculation:
Crystal system   orthorhombic
Energy of formation from the pure elements   -0.183 eV/atom
V   361.4 Å³/cell
Total magnetization   0.00 μB per formula unit

Unit cell a=6.578 b=7.114 c=9.117 alpha=112.96 beta=111.15 gamma=90.00
Sites, in units of the cell vectors:
Ba  0.922  0.665  0.329
Ba  0.407  0.165  0.329
Ba  0.078  0.335  0.671
Ba  0.593  0.835  0.671
Li  0.000  0.750  0.000
Li  0.000  0.250  0.000
Al  0.500  0.250  0.000
Al  0.500  0.750  0.000
Ag  0.357  0.588  0.175
Ag  0.643  0.412  0.825
Ag  0.819  0.088  0.175
Ag  0.181  0.912  0.825

Record 2
The following is a DFT calculation (PBE-GGA) of a relaxed K3Au crystal.

Values from the calculation:
Crystal system   orthorhombic
Energy of formation from the pure elements   -0.150 eV/atom
V   197.1 Å³/cell
Total magnetization   0.00 μB per formula unit

Unit cell a=4.169 b=4.169 c=11.336 alpha=90.00 beta=90.00 gamma=90.19
Sites, in units of the cell vectors:
K  0.000  0.000  0.500
K  0.500  0.500  0.836
K  0.500  0.500  0.164
Au  0.000  0.000  0.000

Record 3
The following is a DFT calculation (PBE-GGA) of a relaxed Ca2HfIn crystal.

Values from the calculation:
Crystal system   tetragonal
Energy of formation from the pure elements   0.469 eV/atom
V   237.9 Å³/cell
Total magnetization   0.00 μB per formula unit

Unit cell a=8.670 b=8.670 c=6.900 alpha=51.07 beta=51.07 gamma=90.00
Sites, in units of the cell vectors:
In  0.500  0.500  0.000
In  0.250  0.750  0.500
Ca  0.604  0.125  0.250
Ca  0.375  0.396  0.750
Ca  0.146  0.625  0.250
Ca  0.875  0.854  0.750
Hf  0.750  0.250  0.500
Hf  0.000  0.000  0.000

Record 4
The following is a DFT calculation (PBE-GGA) of a relaxed SrTlPdPb crystal.

Values from the calculation:
Crystal system   cubic
Energy of formation from the pure elements   -0.290 eV/atom
V   106.5 Å³/cell
Total magnetization   0.00 μB per formula unit

Unit cell a=5.321 b=5.321 c=5.321 alpha=60.00 beta=60.00 gamma=60.00
Sites, in units of the cell vectors:
Sr  0.000  0.000  0.000
Pd  0.750  0.750  0.750
Tl  0.250  0.250  0.250
Pb  0.500  0.500  0.500

Record 5
The following is a DFT calculation (PBE-GGA) of a relaxed La6Ni2GeI3 crystal.

Values from the calculation:
Crystal system   monoclinic
V   389.1 Å³/cell
Total magnetization   0.00 μB per formula unit
Formation energy (no corrections)   -9.7 eV per formula unit

Unit cell a=7.635 b=7.635 c=8.324 alpha=98.09 beta=98.09 gamma=122.94
Sites, in units of the cell vectors:
La  0.912  0.571  0.814
La  0.273  0.273  0.799
La  0.429  0.088  0.186
La  0.088  0.429  0.186
La  0.571  0.912  0.814
La  0.727  0.727  0.201
Ni  0.331  0.669  0.000
Ni  0.669  0.331  0.000
I  0.835  0.165  0.500
I  0.165  0.835  0.500
I  0.500  0.500  0.500
Ge  0.000  0.000  0.000

Record 6
The following is a DFT calculation (PBE-GGA) of a relaxed HfTiSCl2 crystal.

Values from the calculation:
Crystal system   tetragonal
V   120.1 Å³/cell
Total magnetization   2.84 μB per formula unit
Formation energy (no corrections)   -2.3 eV per formula unit

Unit cell a=4.911 b=4.911 c=4.979 alpha=90.00 beta=90.00 gamma=90.00
Sites, in units of the cell vectors:
Cl  0.500  0.000  0.000
Cl  0.000  0.500  0.000
Ti  0.500  0.500  0.500
Hf  0.000  0.000  0.000
S  0.000  0.000  0.500

Record 7
The following is a DFT calculation (PBE-GGA) of a relaxed InCu3Ir crystal.

Values from the calculation:
Crystal system   cubic
Energy of formation from the pure elements   0.853 eV/atom
V   103.6 Å³/cell
Total magnetization   0.00 μB per formula unit

Unit cell a=4.697 b=4.697 c=4.697 alpha=90.00 beta=90.00 gamma=90.00
Sites, in units of the cell vectors:
Cu  0.500  0.000  0.000
Cu  0.000  0.000  0.500
Cu  0.000  0.500  0.000
In  0.500  0.500  0.500
Ir  0.000  0.000  0.000

Record 8
The following is a DFT calculation (PBE-GGA) of a relaxed Cu5Pb3 crystal.

Values from the calculation:
Crystal system   orthorhombic
Energy of formation from the pure elements   0.331 eV/atom
V   148.6 Å³/cell
Total magnetization   0.00 μB per formula unit

Unit cell a=5.969 b=5.969 c=4.233 alpha=90.00 beta=90.00 gamma=99.84
Sites, in units of the cell vectors:
Cu  0.500  0.000  0.000
Cu  0.252  0.252  0.500
Cu  0.000  0.000  0.000
Cu  0.748  0.748  0.500
Cu  0.000  0.500  0.000
Pb  0.783  0.217  0.500
Pb  0.500  0.500  0.000
Pb  0.217  0.783  0.500

Record 9
The following is a DFT calculation (PBE-GGA) of a relaxed Nd2HfNpP4 crystal.

Values from the calculation:
Crystal system   monoclinic
Energy of formation from the pure elements   -1.299 eV/atom
V   179.0 Å³/cell
Total magnetization   3.84 μB per formula unit

Unit cell a=3.977 b=6.866 c=6.938 alpha=109.13 beta=90.00 gamma=90.00
Sites, in units of the cell vectors:
Nd  0.500  0.000  0.500
Nd  0.000  0.500  0.500
P  0.000  0.250  0.772
P  0.500  0.765  0.776
P  0.000  0.750  0.228
P  0.500  0.235  0.224
Np  0.500  0.500  0.000
Hf  0.000  0.000  0.000

Record 10
The following is a DFT calculation (PBE-GGA) of a relaxed PuZrSc2P4 crystal.

Values from the calculation:
Crystal system   monoclinic
Energy of formation from the pure elements   -1.386 eV/atom
V   155.9 Å³/cell
Total magnetization   5.06 μB per formula unit

Unit cell a=3.818 b=6.601 c=6.556 alpha=109.39 beta=90.00 gamma=90.00
Sites, in units of the cell vectors:
P  0.000  0.254  0.746
P  0.500  0.258  0.257
P  0.000  0.746  0.254
P  0.500  0.742  0.743
Pu  0.000  0.000  0.000
Zr  0.500  0.500  0.000
Sc  0.500  0.000  0.500
Sc  0.000  0.500  0.500

Record 11
The following is a DFT calculation (PBE-GGA) of a relaxed Cs2Rb4Ga crystal.

Values from the calculation:
Crystal system   tetragonal
Energy of formation from the pure elements   0.110 eV/atom
V   619.8 Å³/cell
Total magnetization   0.00 μB per formula unit

Unit cell a=7.167 b=7.167 c=13.087 alpha=105.89 beta=105.89 gamma=90.00
Sites, in units of the cell vectors:
Cs  0.350  0.350  0.700
Cs  0.650  0.650  0.300
Rb  0.851  0.851  0.701
Rb  0.000  0.500  0.000
Rb  0.500  0.000  0.000
Rb  0.149  0.149  0.299
Ga  0.000  0.000  0.000

Record 12
The following is a DFT calculation (PBE-GGA) of a relaxed Tb4PrGe4 crystal.

Values from the calculation:
Crystal system   tetragonal
Energy of formation from the pure elements   -0.579 eV/atom
V   510.7 Å³/cell
Total magnetization   0.00 μB per formula unit

Unit cell a=5.836 b=9.355 c=9.355 alpha=90.00 beta=90.00 gamma=90.00
Sites, in units of the cell vectors:
Ge  0.108  0.141  0.288
Ge  0.108  0.859  0.712
Ge  0.608  0.788  0.359
Ge  0.392  0.359  0.212
Ge  0.608  0.212  0.641
Ge  0.892  0.712  0.141
Ge  0.392  0.641  0.788
Ge  0.892  0.288  0.859
Tb  0.611  0.898  0.661
Tb  0.611  0.102  0.339
Tb  0.389  0.661  0.102
Tb  0.111  0.161  0.602
Tb  0.889  0.602  0.839
Tb  0.111  0.839  0.398
Tb  0.389  0.339  0.898
Tb  0.889  0.398  0.161
Pr  0.000  0.000  0.000
Pr  0.500  0.500  0.500